(1)
Density functional theory data (meta-GGA SCAN) for As2OsO at its PBEsol-relaxed geometry.

Calculated values
As for the total magnetization: 0.0 Bohr magnetons per cell. The calculation puts the raw formation energy at 144 meV per atom.

Cell lengths 5.2812, 5.2812, 6.2524 Å; angles 114.98, 114.98, 90.00 degrees
Fractional coordinates of all 8 atoms:
Os (0.2500, 0.7500, 0.5000)
Os (0.0000, 0.0000, 0.0000)
As (0.8487, 0.3750, 0.2500)
As (0.1250, 0.1513, 0.7500)
As (0.6250, 0.5987, 0.7500)
As (0.4013, 0.8750, 0.2500)
O (0.7500, 0.2500, 0.5000)
O (0.5000, 0.5000, 0.0000)

***

(2)
Density functional theory data (meta-GGA SCAN) for Ca2Ga2SiH2O8 at its PBEsol-relaxed geometry.

Calculated values
As for the total magnetization: 0.2 Bohr magnetons per cell. The energy above the most stable polymorph in this dataset comes out at 0 meV per atom.

Cell lengths 7.7221, 7.7221, 7.7221 Å; angles 109.58, 109.58, 109.26 degrees
Fractional coordinates of all 30 atoms:
Ga (0.5001, 0.2438, 0.7441)
Ga (0.4997, 0.7561, 0.2559)
Ga (0.2439, 0.4999, 0.7437)
Ga (0.7562, 0.5003, 0.2563)
O (0.7295, 0.2653, 0.2874)
O (0.9779, 0.4421, 0.7126)
O (0.7347, 0.0221, 0.4642)
O (0.7682, 0.7686, 0.7693)
O (0.7422, 0.4407, 0.0002)
O (0.2580, 0.2578, 0.6985)
O (0.2703, 0.5576, 0.5353)
O (0.9992, 0.9988, 0.2307)
O (0.0012, 0.2318, 0.0004)
O (0.5593, 0.5595, 0.3015)
O (0.4405, 0.7420, 0.9998)
O (0.2314, 0.0008, 0.9996)
O (0.2650, 0.7297, 0.2873)
O (0.4424, 0.9777, 0.7127)
O (0.5579, 0.2705, 0.5358)
O (0.0223, 0.7350, 0.4647)
H (0.0339, 0.0328, 0.3760)
H (0.6568, 0.6578, 0.6240)
H (0.3422, 0.9661, 0.9990)
H (0.9672, 0.3432, 0.0010)
Ca (0.9964, 0.7194, 0.9995)
Ca (0.2806, 0.2801, 0.2770)
Ca (0.7199, 0.9969, 0.0005)
Ca (0.0031, 0.0036, 0.7230)
Si (0.2500, 0.7500, 0.5000)
Si (0.7500, 0.2500, 0.5000)

***

(3)
Density functional theory data (meta-GGA SCAN) for BaYZr2 at its PBEsol-relaxed geometry.

Calculated values
As for the calculated formation energy: 9.50 kcal/mol of atoms. As for the total magnetization: 0.0 Bohr magnetons per cell.

Cell lengths 3.2862, 5.3998, 7.1462 Å; angles 93.87, 90.00, 107.72 degrees
Fractional coordinates of all 4 atoms:
Zr (0.9967, 0.9935, 0.9624)
Zr (0.2593, 0.5185, 0.8252)
Y (0.7413, 0.4827, 0.2000)
Ba (0.5027, 0.0053, 0.5125)

***

(4)
Density functional theory data (meta-GGA SCAN) for FeTeRu2 at its PBEsol-relaxed geometry.

Calculated values
As for the total magnetization: 4.2 Bohr magnetons per cell. The calculation puts the raw formation energy at 464 meV per atom.

Cell lengths 2.9137, 4.7691, 4.3285 Å; angles 90.00, 90.00, 93.47 degrees
Fractional coordinates of all 4 atoms:
Ru (0.7509, 0.7606, 0.0000)
Ru (0.2491, 0.2394, 0.0000)
Fe (0.5000, 0.0000, 0.5000)
Te (0.0000, 0.5000, 0.5000)

***

(5)
Density functional theory data (meta-GGA SCAN) for Be2Hg at its PBEsol-relaxed geometry.

Calculated values
As for the calculated formation energy: 7.70 kcal/mol of atoms. As for the total magnetization: 0.0 Bohr magnetons per cell. The energy above the most stable polymorph in this dataset comes out at 0 meV per atom.

Cell lengths 2.9392, 4.6992, 5.9971 Å; angles 84.93, 90.00, 108.22 degrees
Fractional coordinates of all 6 atoms:
Be (0.9351, 0.8701, 0.9538)
Be (0.6045, 0.2090, 0.7366)
Be (0.3299, 0.6598, 0.6515)
Be (0.7460, 0.4920, 0.3732)
Hg (0.0102, 0.0204, 0.4236)
Hg (0.2076, 0.4152, 0.0279)

***

(6)
Density functional theory data (meta-GGA SCAN) for CdRuCl2 at its PBEsol-relaxed geometry.

Calculated values
As for the total magnetization: 0.0 Bohr magnetons per cell. The energy above the most stable polymorph in this dataset comes out at 0 meV per atom. The calculation puts the raw formation energy at -214 meV per atom.

Cell lengths 3.4911, 3.4911, 8.7600 Å; angles 78.51, 78.51, 60.00 degrees
Fractional coordinates of all 4 atoms:
Cl (0.2148, 0.2148, 0.3557)
Cl (0.7852, 0.7852, 0.6443)
Ru (0.5000, 0.5000, 0.5000)
Cd (0.0000, 0.0000, 0.0000)

***

(7)
Density functional theory data (meta-GGA SCAN) for BaH3Ru at its PBEsol-relaxed geometry.

Calculated values
As for the total magnetization: 0.6 Bohr magnetons per cell.

Cell lengths 3.8610, 3.8610, 3.8610 Å; angles 90.00, 90.00, 90.00 degrees
Fractional coordinates of all 5 atoms:
Ru (0.0000, 0.0000, 0.0000)
H (0.5000, 0.0000, 0.0000)
H (0.0000, 0.5000, 0.0000)
H (0.0000, 0.0000, 0.5000)
Ba (0.5000, 0.5000, 0.5000)

***

(8)
Density functional theory data (meta-GGA SCAN) for GdSi2 at its PBEsol-relaxed geometry.

Calculated values
As for the total magnetization: 7.0 Bohr magnetons per cell. The calculation puts the raw formation energy at -492 meV per atom.

Cell lengths 3.9275, 4.0520, 4.0520 Å; angles 120.00, 90.00, 90.00 degrees
Fractional coordinates of all 3 atoms:
Gd (0.0000, 0.0000, 0.0000)
Si (0.5000, 0.3333, 0.6667)
Si (0.5000, 0.6667, 0.3333)

***

| no. | VASP energy (eV per cell) |
| --- | --- |
| 1 | -235.83 |
| 2 | -312.15 |
| 3 | -127.14 |
| 4 | -123.18 |
| 5 | -151.74 |
| 6 | -82.05 |
| 7 | -86.17 |
| 8 | -80.32 |